# 1
CdNiF4 | PBE with a Hubbard U | optimized geometry

The structure in extended XYZ format:
```
6
Lattice="3.5185 -3.5383 0.0000 3.5185 3.5383 0.0000 0.0000 0.0000 3.3013" Properties=species:S:1:pos:R:3 pbc="T T T"
Cd 0.0000 0.0000 0.0000
Ni 3.5185 0.0000 1.6507
F 1.5171 0.0000 1.6507
F 3.5185 1.2712 0.0000
F 3.5185 -1.2712 0.0000
F 5.5198 0.0000 1.6507
```

Results
Total energy = -23.96 eV/cell
Volume = 82.2 Å³/cell
Energy relative to the lowest polymorph listed for this composition = 0.000 eV per atom


# 2
V4CdO8 | PBE with a Hubbard U | optimized geometry

The structure in extended XYZ format:
```
13
Lattice="-3.0932 3.1905 4.1464 3.0932 -3.1905 4.1464 3.0932 3.1905 -4.1464" Properties=species:S:1:pos:R:3 pbc="T T T"
V 0.0000 1.5648 0.0000
V 1.5160 3.1905 -1.9175
V 1.5772 0.0000 2.2289
V 0.0000 4.8161 0.0000
Cd 0.0000 3.1905 3.1231
O 1.3182 0.0000 0.2096
O 4.8682 0.0000 0.2096
O 3.0932 1.8817 -2.1086
O 3.0932 -1.2902 2.1866
O 0.0000 1.3088 2.0377
O 3.0932 1.2902 2.1866
O 1.3480 3.1905 -0.1087
O 1.7452 0.0000 4.0377
```

Results
Total energy = -94.25 eV/cell
Volume = 163.7 Å³/cell